*w*
# TbPr2Hg PBE-GGA relaxed
data_TbPr2Hg
_chemical_formula_sum 'Tb4 Pr8 Hg4'
_space_group_name_H-M_alt 'F m -3 m'
_space_group_IT_number 225
_space_group_name_Hall '-F 4 2 3'
_cell_length_a 7.873
_cell_length_b 7.873
_cell_length_c 7.873
_cell_angle_alpha 90.00
_cell_angle_beta 90.00
_cell_angle_gamma 90.00
loop_
_atom_site_label
_atom_site_fract_x
_atom_site_fract_y
_atom_site_fract_z
_atom_site_occupancy
Tb1 0.000 0.000 0.000 1
Pr1 0.250 0.250 0.250 1
Hg1 0.000 0.000 0.500 1
# **Fermi-level density of states**: 23.83 states/eV per cell



*x*
# TbPr2Hg PBE-GGA relaxed
data_TbPr2Hg
_chemical_formula_sum 'Tb2 Pr4 Hg2'
_space_group_name_H-M_alt 'P 4/n m m'
_space_group_IT_number 129
_cell_length_a 5.278
_cell_length_b 5.278
_cell_length_c 8.981
_cell_angle_alpha 90.00
_cell_angle_beta 90.00
_cell_angle_gamma 90.00
loop_
_space_group_symop_operation_xyz
'x,y,z'
'-x,-y,-z'
'-y+1/2,x,z'
'y+1/2,-x,-z'
'-x+1/2,-y+1/2,z'
'x+1/2,y+1/2,-z'
'y,-x+1/2,z'
'-y,x+1/2,-z'
'x+1/2,-y,-z'
'-x+1/2,y,z'
'-y,-x,-z'
'y,x,z'
'-x,y+1/2,-z'
'x,-y+1/2,z'
'y+1/2,x+1/2,-z'
'-y+1/2,-x+1/2,z'
loop_
_atom_site_label
_atom_site_fract_x
_atom_site_fract_y
_atom_site_fract_z
_atom_site_occupancy
Tb1 0.250 0.250 0.214 1
Pr1 0.250 0.250 0.779 1
Pr2 0.250 0.750 0.500 1
Hg1 0.250 0.750 0.000 1
# **Fermi-level density of states**: 9.90 states/eV per cell



*y*
# TbPr2Hg PBE-GGA relaxed
data_TbPr2Hg
_chemical_formula_sum 'Tb3 Pr6 Hg3'
_space_group_name_H-M_alt 'R -3 m'
_space_group_IT_number 166
_space_group_name_Hall '-R 3 2"'
_cell_length_a 3.7038
_cell_length_b 3.7038
_cell_length_c 32.8537
_cell_angle_alpha 90.00
_cell_angle_beta 90.00
_cell_angle_gamma 120.00
loop_
_atom_site_label
_atom_site_fract_x
_atom_site_fract_y
_atom_site_fract_z
_atom_site_occupancy
Tb1 0.0000 0.0000 0.0000 1
Pr1 0.0000 0.0000 0.2440 1
Hg1 0.0000 0.0000 0.5000 1
# **Fermi-level density of states**: 12.46 states/eV per cell



Which of them is the most stable, and which is the least stable? *x* and *w*, in that order.



*w*
# TbPr2Hg PBE-GGA relaxed
data_TbPr2Hg
_chemical_formula_sum 'Tb3 Pr6 Hg3'
_space_group_name_H-M_alt 'R 3 m'
_space_group_IT_number 160
_space_group_name_Hall 'R 3 -2"'
_cell_length_a 3.7296
_cell_length_b 3.7296
_cell_length_c 32.6112
_cell_angle_alpha 90.00
_cell_angle_beta 90.00
_cell_angle_gamma 120.00
loop_
_atom_site_label
_atom_site_fract_x
_atom_site_fract_y
_atom_site_fract_z
_atom_site_occupancy
Tb1 0.0000 0.0000 0.0000 1
Pr1 0.0000 0.0000 0.2437 1
Pr2 0.0000 0.0000 0.4224 1
Hg1 0.0000 0.0000 0.8329 1
# **Fermi-level density of states**: 14.78 states/eV per cell



*x*
# TbPr2Hg PBE-GGA relaxed
data_TbPr2Hg
_chemical_formula_sum 'Tb1 Pr2 Hg1'
_space_group_name_H-M_alt 'P 4/m m m'
_space_group_IT_number 123
_space_group_name_Hall '-P 4 2'
_cell_length_a 3.751
_cell_length_b 3.751
_cell_length_c 9.006
_cell_angle_alpha 90.00
_cell_angle_beta 90.00
_cell_angle_gamma 90.00
loop_
_atom_site_label
_atom_site_fract_x
_atom_site_fract_y
_atom_site_fract_z
_atom_site_occupancy
Tb1 0.000 0.000 0.000 1
Pr1 0.500 0.500 0.275 1
Hg1 0.000 0.000 0.500 1
# **Fermi-level density of states**: 4.82 states/eV per cell



Which of them is the most stable, and which is the least stable? *x* and *w*, in that order.



*w*
# TbPr3Hg PBE-GGA relaxed
data_TbPr3Hg
_chemical_formula_sum 'Tb4 Pr12 Hg4'
_space_group_name_H-M_alt 'C 1 2/m 1'
_space_group_IT_number 12
_cell_length_a 11.642
_cell_length_b 7.696
_cell_length_c 8.185
_cell_angle_alpha 90.00
_cell_angle_beta 111.98
_cell_angle_gamma 90.00
loop_
_space_group_symop_operation_xyz
'x,y,z'
'-x,-y,-z'
'-x,y,-z'
'x,-y,z'
'x+1/2,y+1/2,z'
'-x+1/2,-y+1/2,-z'
'-x+1/2,y+1/2,-z'
'x+1/2,-y+1/2,z'
loop_
_atom_site_label
_atom_site_fract_x
_atom_site_fract_y
_atom_site_fract_z
_atom_site_occupancy
Tb1 0.059 0.000 0.241 1
Pr1 0.050 0.500 0.235 1
Pr2 0.164 0.246 0.647 1
Hg1 0.235 0.000 0.001 1
# **Fermi-level density of states**: 21.72 states/eV per cell



*x*
# TbPr3Hg PBE-GGA relaxed
data_TbPr3Hg
_chemical_formula_sum 'Tb4 Pr12 Hg4'
_space_group_name_H-M_alt 'C 1 2/m 1'
_space_group_IT_number 12
_cell_length_a 19.827
_cell_length_b 3.780
_cell_length_c 8.851
_cell_angle_alpha 90.00
_cell_angle_beta 103.33
_cell_angle_gamma 90.00
loop_
_space_group_symop_operation_xyz
'x,y,z'
'-x,-y,-z'
'-x,y,-z'
'x,-y,z'
'x+1/2,y+1/2,z'
'-x+1/2,-y+1/2,-z'
'-x+1/2,y+1/2,-z'
'x+1/2,-y+1/2,z'
loop_
_atom_site_label
_atom_site_fract_x
_atom_site_fract_y
_atom_site_fract_z
_atom_site_occupancy
Tb1 0.205 0.000 0.332 1
Pr1 0.004 0.000 0.791 1
Pr2 0.097 0.500 0.534 1
Pr3 0.186 0.000 0.878 1
Hg1 0.108 0.500 0.088 1
# **Fermi-level density of states**: 24.90 states/eV per cell



Which of them is the most stable, and which is the least stable? *x* and *w*, in that order.



*w*
# TbPrHg2 PBE-GGA relaxed
data_TbPrHg2
_chemical_formula_sum 'Tb1 Pr1 Hg2'
_space_group_name_H-M_alt 'P 4/m m m'
_space_group_IT_number 123
_space_group_name_Hall '-P 4 2'
_cell_length_a 3.772
_cell_length_b 3.772
_cell_length_c 7.722
_cell_angle_alpha 90.00
_cell_angle_beta 90.00
_cell_angle_gamma 90.00
loop_
_atom_site_label
_atom_site_fract_x
_atom_site_fract_y
_atom_site_fract_z
_atom_site_occupancy
Tb1 0.000 0.000 0.000 1
Pr1 0.000 0.000 0.500 1
Hg1 0.500 0.500 0.231 1
# **Fermi-level density of states**: 4.06 states/eV per cell



*x*
# TbPrHg2 PBE-GGA relaxed
data_TbPrHg2
_chemical_formula_sum 'Tb4 Pr4 Hg8'
_space_group_name_H-M_alt 'F m -3 m'
_space_group_IT_number 225
_space_group_name_Hall '-F 4 2 3'
_cell_length_a 7.610
_cell_length_b 7.610
_cell_length_c 7.610
_cell_angle_alpha 90.00
_cell_angle_beta 90.00
_cell_angle_gamma 90.00
loop_
_atom_site_label
_atom_site_fract_x
_atom_site_fract_y
_atom_site_fract_z
_atom_site_occupancy
Tb1 0.000 0.000 0.000 1
Pr1 0.000 0.000 0.500 1
Hg1 0.250 0.250 0.250 1
# **Fermi-level density of states**: 17.62 states/eV per cell



*y*
# TbPrHg2 PBE-GGA relaxed
data_TbPrHg2
_chemical_formula_sum 'Tb3 Pr3 Hg6'
_space_group_name_H-M_alt 'R 3 m'
_space_group_IT_number 160
_space_group_name_Hall 'R 3 -2"'
_cell_length_a 3.8326
_cell_length_b 3.8326
_cell_length_c 27.9600
_cell_angle_alpha 90.00
_cell_angle_beta 90.00
_cell_angle_gamma 120.00
loop_
_atom_site_label
_atom_site_fract_x
_atom_site_fract_y
_atom_site_fract_z
_atom_site_occupancy
Tb1 0.0000 0.0000 0.0000 1
Pr1 0.0000 0.0000 0.1663 1
Hg1 0.0000 0.0000 0.4130 1
Hg2 0.0000 0.0000 0.5865 1
# **Fermi-level density of states**: 11.96 states/eV per cell



Which of them is the most stable, and which is the least stable? *w* and *y*, in that order.



*w*
# Tb3PrHg2 PBE-GGA relaxed
data_Tb3PrHg2
_chemical_formula_sum 'Tb6 Pr2 Hg4'
_space_group_name_H-M_alt 'P m c 21'
_space_group_IT_number 26
_cell_length_a 5.146
_cell_length_b 9.377
_cell_length_c 7.230
_cell_angle_alpha 90.00
_cell_angle_beta 90.00
_cell_angle_gamma 90.00
loop_
_space_group_symop_operation_xyz
'x,y,z'
'-x,-y,z+1/2'
'-x,y,z'
'x,-y,z+1/2'
loop_
_atom_site_label
_atom_site_fract_x
_atom_site_fract_y
_atom_site_fract_z
_atom_site_occupancy
Tb1 0.000 0.058 0.000 1
Tb2 0.000 0.321 0.348 1
Tb3 0.500 0.171 0.683 1
Pr1 0.500 0.442 0.030 1
Hg1 0.000 0.350 0.771 1
Hg2 0.500 0.145 0.258 1
# **Fermi-level density of states**: 6.78 states/eV per cell



*x*
# Tb3PrHg2 PBE-GGA relaxed
data_Tb3PrHg2
_chemical_formula_sum 'Tb12 Pr4 Hg8'
_space_group_name_H-M_alt 'C 1 2/m 1'
_space_group_IT_number 12
_cell_length_a 16.212
_cell_length_b 5.389
_cell_length_c 8.937
_cell_angle_alpha 90.00
_cell_angle_beta 115.10
_cell_angle_gamma 90.00
loop_
_space_group_symop_operation_xyz
'x,y,z'
'-x,-y,-z'
'-x,y,-z'
'x,-y,z'
'x+1/2,y+1/2,z'
'-x+1/2,-y+1/2,-z'
'-x+1/2,y+1/2,-z'
'x+1/2,-y+1/2,z'
loop_
_atom_site_label
_atom_site_fract_x
_atom_site_fract_y
_atom_site_fract_z
_atom_site_occupancy
Tb1 0.064 0.000 0.224 1
Tb2 0.119 0.500 0.028 1
Tb3 0.194 0.500 0.502 1
Pr1 0.132 0.000 0.688 1
Hg1 0.009 0.500 0.668 1
Hg2 0.225 0.000 0.106 1
# **Fermi-level density of states**: 22.03 states/eV per cell



Which of them is the most stable, and which is the least stable? *w* and *x*, in that order.